Here is crystalline BaSrFeO4 at its relaxed geometry from Alexandria via LeMat-Bulk. Energies are from PBE+U.

Calculated volume (Å³/cell): 205.88
Space group: Cmcm (63)
DOS at the Fermi energy (states/eV/f.u.): 0.79
Electronic total energy (eV per formula unit): -43.9

Cell and atoms, written as extended XYZ:
```
14
Lattice="2.8228 -6.4583 0.0000 2.8228 6.4583 0.0000 0.0000 0.0000 5.6466" Properties=species:S:1:pos:R:3 pbc="T T T"
Ba 2.8228 5.1294 4.2349
Ba 2.8228 -5.1294 1.4116
Sr 2.8228 1.4573 4.2349
Sr 2.8228 -1.4573 1.4116
Fe 2.8228 3.1998 1.4116
Fe 2.8228 -3.1998 4.2349
O 1.4114 3.2292 0.0000
O 1.4114 3.2292 2.8233
O 2.8228 5.1486 1.4116
O 2.8228 1.2002 1.4116
O 1.4114 -3.2292 0.0000
O 1.4114 -3.2292 2.8233
O 2.8228 -1.2002 4.2349
O 2.8228 -5.1486 4.2349
```